Entry 1:
This record from the Alexandria database describes a relaxed Ca2CeAlO6 crystal. The functional is PBE-GGA.

Lattice parameters (Å, degrees): 5.5839 5.7515 7.9736 90.00 90.64 90.00
With the nearest neighbours (Å) after each atom.
Sites, in units of the cell vectors:
O 0.8176 0.7729 0.9393  1 Al 1.93
O 0.3934 0.9550 0.7285  1 Al 1.94
O 0.3176 0.7271 0.4393  1 Al 1.93
O 0.1066 0.4550 0.7715  1 Al 1.94
O 0.6824 0.2729 0.5607  1 Al 1.93
O 0.6066 0.0450 0.2715  1 Al 1.94
O 0.7197 0.3080 0.9490  1 Al 1.95
O 0.2803 0.6920 0.0510  1 Al 1.95
O 0.8934 0.5450 0.2285  1 Al 1.94
O 0.2197 0.1920 0.4490  1 Al 1.95
O 0.7803 0.8080 0.5510  1 Al 1.95
O 0.1824 0.2271 0.0607  1 Al 1.93
Ca 0.4817 0.4498 0.2480  6 O 2.37-2.64
Ca 0.9817 0.0502 0.7480  6 O 2.37-2.64
Ca 0.0183 0.9498 0.2520  6 O 2.37-2.64
Ca 0.5183 0.5502 0.7520  6 O 2.37-2.64
Ce 0.5000 0.0000 0.0000  6 O 2.20-2.26
Ce 0.0000 0.5000 0.5000  6 O 2.20-2.26
Al 0.5000 0.0000 0.5000  6 O 1.93-1.95
Al 0.0000 0.5000 0.0000  6 O 1.93-1.95

- calculated density (Mg/m³) = 4.5
- raw formation energy (meV/atom) = -2834.8
- E (eV per cell) = -143.554
- density of states at the Fermi level (states/eV/f.u.) = 7.00
- SG = P2_1/c


Entry 2:
This record from the Alexandria database describes a relaxed CaCePrAl crystal. The functional is PBE-GGA.

Lattice parameters (Å, degrees): 5.5146 5.5146 5.5146 60.00 60.00 60.00
With the nearest neighbours (Å) after each atom.
Sites, in units of the cell vectors:
Ce 0.0000 0.0000 0.0000  4 Ca 3.38, 4 Al 3.38
Al 0.2500 0.2500 0.2500  4 Ce 3.38, 4 Pr 3.38
Pr 0.5000 0.5000 0.5000  4 Al 3.38, 4 Ca 3.38
Ca 0.7500 0.7500 0.7500  4 Ce 3.38, 4 Pr 3.38

- calculated density (Mg/m³) = 4.9
- E (eV per cell) = -16.370
- density of states at the Fermi level (states/eV/f.u.) = 9.83
- formation energy from the elements (eV per atom) = 0.022
- SG = F-43m


Entry 3:
This record from the Alexandria database describes a relaxed CaCeAl2Si2 crystal. The functional is PBE-GGA.

Lattice parameters (Å, degrees): 4.1980 4.1980 8.5677 90.00 90.00 120.00
With the nearest neighbours (Å) after each atom.
Sites, in units of the cell vectors:
Al 0.3333 0.6667 0.7634  3 Si 2.43
Al 0.6667 0.3333 0.2366  3 Si 2.43
Si 0.6667 0.3333 0.7437  3 Al 2.43
Si 0.3333 0.6667 0.2563  3 Al 2.43
Ca 0.0000 0.0000 0.5000  6 Si 3.20, 6 Al 3.31
Ce 0.0000 0.0000 0.0000  6 Al 3.16, 6 Si 3.27

- calculated density (Mg/m³) = 3.7
- raw formation energy (meV/atom) = -455.9
- E (eV per cell) = -29.002
- density of states at the Fermi level (states/eV/f.u.) = 5.99
- SG = P-3m1


Entry 4:
This record from the Alexandria database describes a relaxed CaCeAlSn crystal. The functional is PBE-GGA.

Lattice parameters (Å, degrees): 5.3347 5.3347 5.3347 60.00 60.00 60.00
With the nearest neighbours (Å) after each atom.
Sites, in units of the cell vectors:
Ca 0.2500 0.2500 0.2500  4 Sn 3.27, 4 Al 3.27
Ce 0.7500 0.7500 0.7500  4 Sn 3.27, 4 Al 3.27
Al 0.0000 0.0000 0.0000  4 Ce 3.27, 4 Ca 3.27
Sn 0.5000 0.5000 0.5000  4 Ce 3.27, 4 Ca 3.27

- calculated density (Mg/m³) = 5.0
- E (eV per cell) = -17.198
- density of states at the Fermi level (states/eV/f.u.) = 6.23
- formation energy from the elements (eV per atom) = -0.379
- SG = F-43m


Entry 5:
This record from the Alexandria database describes a relaxed CaAl2Cl crystal. The functional is PBE-GGA.

Lattice parameters (Å, degrees): 5.2582 5.2582 5.2582 60.00 60.00 60.00
With the nearest neighbours (Å) after each atom.
Sites, in units of the cell vectors:
Al 0.7500 0.7500 0.7500  4 Cl 3.22, 4 Ca 3.22
Al 0.2500 0.2500 0.2500  4 Cl 3.22, 4 Ca 3.22
Cl 0.0000 0.0000 0.0000  8 Al 3.22
Ca 0.5000 0.5000 0.5000  8 Al 3.22

- calculated density (Mg/m³) = 2.1
- raw formation energy (meV/atom) = 175.2
- E (eV per cell) = -10.633
- ΔE to the lowest computed polymorph (meV/atom) = 770
- density of states at the Fermi level (states/eV/f.u.) = 3.34
- SG = Fm-3m


Entry 6:
This record from the Alexandria database describes a relaxed CaAlCl crystal. The functional is PBE-GGA.

Lattice parameters (Å, degrees): 4.8851 4.8851 4.8851 60.00 60.00 60.00
With the nearest neighbours (Å) after each atom.
Sites, in units of the cell vectors:
Ca 0.5000 0.5000 0.5000  4 Cl 2.99
Cl 0.7500 0.7500 0.7500  4 Ca 2.99, 4 Al 2.99
Al 0.0000 0.0000 0.0000  4 Cl 2.99

- calculated density (Mg/m³) = 2.1
- raw formation energy (meV/atom) = -331.1
- E (eV per cell) = -8.584
- ΔE to the lowest computed polymorph (meV/atom) = 390
- density of states at the Fermi level (states/eV/f.u.) = 1.34
- SG = F-43m


Entry 7:
This record from the Alexandria database describes a relaxed Ca2AlCl crystal. The functional is PBE-GGA.

Lattice parameters (Å, degrees): 5.4181 5.4181 5.4181 60.00 60.00 60.00
With the nearest neighbours (Å) after each atom.
Sites, in units of the cell vectors:
Ca 0.7500 0.7500 0.7500  4 Cl 3.32, 4 Al 3.32
Ca 0.2500 0.2500 0.2500  4 Cl 3.32, 4 Al 3.32
Al 0.0000 0.0000 0.0000  8 Ca 3.32
Cl 0.5000 0.5000 0.5000  8 Ca 3.32

- calculated density (Mg/m³) = 2.1
- raw formation energy (meV/atom) = -519.2
- E (eV per cell) = -11.669
- ΔE to the lowest computed polymorph (meV/atom) = 419
- density of states at the Fermi level (states/eV/f.u.) = 6.09
- SG = Fm-3m


Entry 8:
This record from the Alexandria database describes a relaxed CaAlCl5 crystal. The functional is PBE-GGA.

Lattice parameters (Å, degrees): 7.1931 7.1939 10.0362 110.72 110.72 87.48
With the nearest neighbours (Å) after each atom.
Sites, in units of the cell vectors:
Cl 0.1583 0.7181 0.8329  1 Al 2.16
Cl 0.8417 0.2819 0.1671  1 Al 2.16
Cl 0.4181 0.0817 0.2499  2 Ca 2.64
Cl 0.7612 0.7040 0.0611  1 Al 2.16
Cl 0.2035 0.2607 0.5608  1 Al 2.16
Cl 0.2388 0.2960 0.9389  1 Al 2.16
Cl 0.7965 0.7393 0.4392  1 Al 2.16
Cl 0.2184 0.6580 0.3330  1 Al 2.16
Cl 0.5819 0.9183 0.7501  2 Ca 2.64
Cl 0.7816 0.3420 0.6670  1 Al 2.16
Al 0.8968 0.6035 0.2501  4 Cl 2.16
Al 0.1032 0.3965 0.7499  4 Cl 2.16
Ca 0.5000 0.0000 0.5000  6 Cl 2.64-2.86
Ca 0.5000 0.0000 0.0000  6 Cl 2.64-2.86

- calculated density (Mg/m³) = 1.8
- raw formation energy (meV/atom) = -1877.6
- E (eV per cell) = -56.241
- density of states at the Fermi level (states/eV/f.u.) = 0.00
- SG = C2/c


Entry 9:
This record from the Alexandria database describes a relaxed CaAlCl2 crystal. The functional is PBE-GGA.

Lattice parameters (Å, degrees): 7.2419 7.2419 7.9634 62.95 62.95 90.00
With the nearest neighbours (Å) after each atom.
Sites, in units of the cell vectors:
Ca 0.0000 0.0000 0.0000  4 Cl 2.62
Ca 0.7500 0.2500 0.5000  4 Cl 2.62
Cl 0.0315 0.6250 0.2500  2 Ca 2.62
Cl 0.3750 0.2815 0.7500  2 Ca 2.62
Cl 0.7185 0.1250 0.2500  2 Ca 2.62
Cl 0.8750 0.9685 0.7500  2 Ca 2.62
Al 0.2500 0.7500 0.5000  4 Cl 3.43
Al 0.5000 0.5000 0.0000  4 Cl 3.43

- calculated density (Mg/m³) = 1.4
- raw formation energy (meV/atom) = -952.5
- E (eV per cell) = -26.495
- ΔE to the lowest computed polymorph (meV/atom) = 301
- density of states at the Fermi level (states/eV/f.u.) = 1.05
- SG = I-42d


Entry 10:
This record from the Alexandria database describes a relaxed Ca2AlCl crystal. The functional is PBE-GGA.

Lattice parameters (Å, degrees): 4.2895 4.2895 6.2549 90.00 90.00 90.00
With the nearest neighbours (Å) after each atom.
Sites, in units of the cell vectors:
Cl 0.0000 0.0000 0.3763  6 Ca 3.03-3.16
Al 0.5000 0.5000 0.8769  6 Ca 3.03-3.13
Ca 0.5000 0.5000 0.3757  4 Cl 3.03, 2 Al 3.12-3.13
Ca 0.0000 0.0000 0.8711  4 Al 3.03, 2 Cl 3.09-3.16

- calculated density (Mg/m³) = 2.1
- raw formation energy (meV/atom) = -792.9
- E (eV per cell) = -12.764
- ΔE to the lowest computed polymorph (meV/atom) = 145
- density of states at the Fermi level (states/eV/f.u.) = 1.44
- SG = P4mm


Entry 11:
This record from the Alexandria database describes a relaxed CaAl2Cl crystal. The functional is PBE-GGA.

Lattice parameters (Å, degrees): 5.8094 5.8094 5.8094 145.65 117.79 73.03
With the nearest neighbours (Å) after each atom.
Sites, in units of the cell vectors:
Al 0.7735 0.2735 0.5000  2 Al 2.73
Al 0.0015 0.0015 0.0000  2 Al 2.73, 2 Cl 2.86
Ca 0.4791 0.4791 0.0000  2 Cl 2.77
Cl 0.2459 0.7459 0.5000  2 Ca 2.77, 2 Al 2.86

- calculated density (Mg/m³) = 2.2
- raw formation energy (meV/atom) = -305.7
- E (eV per cell) = -12.556
- ΔE to the lowest computed polymorph (meV/atom) = 289
- density of states at the Fermi level (states/eV/f.u.) = 2.44
- SG = Imm2


Entry 12:
This record from the Alexandria database describes a relaxed CaAl2Cl crystal. The functional is PBE-GGA.

Lattice parameters (Å, degrees): 6.7034 6.7034 4.2623 87.38 87.38 29.93
With the nearest neighbours (Å) after each atom.
Sites, in units of the cell vectors:
Cl 0.2500 0.2500 0.2500  4 Ca 2.75
Al 0.0089 0.0089 0.9879  4 Al 2.68-2.83
Al 0.4911 0.4911 0.5121  4 Al 2.68-2.83
Ca 0.7500 0.7500 0.7500  4 Cl 2.75

- calculated density (Mg/m³) = 2.3
- raw formation energy (meV/atom) = -566.3
- E (eV per cell) = -13.598
- ΔE to the lowest computed polymorph (meV/atom) = 29
- density of states at the Fermi level (states/eV/f.u.) = 1.73
- SG = C2/m